This record from Alexandria via LeMat-Bulk describes a geometry-optimized Y4ZnNi3 structure. The functional is GGA-PBE.

Lattice parameters (Å, degrees): 3.741 4.319 10.446 90.00 90.00 90.00
Fractional coordinates of all 8 atoms:
Y (0.000, 0.000, 0.000)
Y (0.000, 0.500, 0.267)
Y (0.500, 0.000, 0.480)
Y (0.500, 0.500, 0.775)
Zn (0.000, 0.000, 0.700)
Ni (0.000, 0.500, 0.560)
Ni (0.500, 0.000, 0.203)
Ni (0.500, 0.500, 0.062)

Values from the calculation:
- E (eV per atom) = -5.963
- space-group type = No. 25
- formation energy from the elements (eV per formula unit) = -3.2
- magnetic moment (μB per cell) = 0.00